This record from Alexandria describes an optimized crystal structure of ScVPtW2. The functional is PBE.

## Properties
ΔH_f (0 K): 10.12 eV per formula unit
DOS at the Fermi energy: 1.045 states/eV/atom

CIF file:
```
data_ScVPtW2
_cell_length_a 4.580
_cell_length_b 4.580
_cell_length_c 4.258
_cell_angle_alpha 90.00
_cell_angle_beta 90.00
_cell_angle_gamma 90.00
_space_group_name_H-M_alt 'P 4/m m m'
_space_group_IT_number 123
_space_group_name_Hall '-P 4 2'
loop_
_atom_site_label
_atom_site_fract_x
_atom_site_fract_y
_atom_site_fract_z
Sc1 0.000 0.000 0.000
V1 0.000 0.000 0.500
Pt1 0.500 0.500 0.500
W1 0.000 0.500 0.000
```

This record from Alexandria describes an optimized crystal structure of AcNdSiNi. The functional is PBE.

## Properties
Uncorrected formation energy: -0.2667 eV/atom
DOS at the Fermi energy: 0.421 states/eV/atom
Polymorph energy (0 for the lowest one): 4.863 kcal/mol of atoms

CIF file:
```
data_AcNdSiNi
_cell_length_a 7.378
_cell_length_b 7.378
_cell_length_c 7.378
_cell_angle_alpha 90.00
_cell_angle_beta 90.00
_cell_angle_gamma 90.00
_space_group_name_H-M_alt 'F -4 3 m'
_space_group_IT_number 216
_space_group_name_Hall 'F -4 2 3'
loop_
_atom_site_label
_atom_site_fract_x
_atom_site_fract_y
_atom_site_fract_z
Ac1 0.000 0.000 0.000
Nd1 0.000 0.000 0.500
Si1 0.250 0.250 0.750
Ni1 0.250 0.250 0.250
```

This record from Alexandria describes an optimized crystal structure of CdAg2Sb. The functional is PBE.

## Properties
Uncorrected formation energy: 0.0665 eV/atom
DOS at the Fermi energy: 0.402 states/eV/atom
Polymorph energy (0 for the lowest one): 0.510 kcal/mol of atoms

CIF file:
```
data_CdAg2Sb
_cell_length_a 3.131
_cell_length_b 3.131
_cell_length_c 8.674
_cell_angle_alpha 90.00
_cell_angle_beta 90.00
_cell_angle_gamma 90.00
_space_group_name_H-M_alt 'P 4/m m m'
_space_group_IT_number 123
_space_group_name_Hall '-P 4 2'
loop_
_atom_site_label
_atom_site_fract_x
_atom_site_fract_y
_atom_site_fract_z
Cd1 0.000 0.000 0.000
Ag1 0.500 0.500 0.232
Sb1 0.000 0.000 0.500
```

This record from Alexandria describes an optimized crystal structure of LiZnPt2. The functional is PBE.

## Properties
ΔH_f (0 K): -1.88 eV per formula unit
DOS at the Fermi energy: 0.512 states/eV/atom

CIF file:
```
data_LiZnPt2
_cell_length_a 2.8295
_cell_length_b 2.8295
_cell_length_c 25.3991
_cell_angle_alpha 90.00
_cell_angle_beta 90.00
_cell_angle_gamma 120.00
_space_group_name_H-M_alt 'R 3 m'
_space_group_IT_number 160
_space_group_name_Hall 'R 3 -2"'
loop_
_atom_site_label
_atom_site_fract_x
_atom_site_fract_y
_atom_site_fract_z
Li1 0.0000 0.0000 0.0000
Zn1 0.0000 0.0000 0.8334
Pt1 0.0000 0.0000 0.4177
Pt2 0.0000 0.0000 0.5823
```

This record from Alexandria describes an optimized crystal structure of VSiMo. The functional is PBE.

## Properties
Uncorrected formation energy: -0.2001 eV/atom
DOS at the Fermi energy: 0.615 states/eV/atom

CIF file:
```
data_VSiMo
_cell_length_a 4.2324
_cell_length_b 4.2324
_cell_length_c 2.6926
_cell_angle_alpha 90.00
_cell_angle_beta 90.00
_cell_angle_gamma 120.00
_space_group_name_H-M_alt 'P 3 m 1'
_space_group_IT_number 156
_space_group_name_Hall 'P 3 -2"'
loop_
_atom_site_label
_atom_site_fract_x
_atom_site_fract_y
_atom_site_fract_z
V1 0.0000 0.0000 0.0000
Si1 0.3333 0.6667 0.6677
Mo1 0.6667 0.3333 0.2800
```

This record from Alexandria describes an optimized crystal structure of BaTl2Fe. The functional is PBE.

## Properties
ΔH_f (0 K): 2.48 eV per formula unit
DOS at the Fermi energy: 4.900 states/eV/atom

CIF file:
```
data_BaTl2Fe
_cell_length_a 7.599
_cell_length_b 7.599
_cell_length_c 7.599
_cell_angle_alpha 90.00
_cell_angle_beta 90.00
_cell_angle_gamma 90.00
_space_group_name_H-M_alt 'F m -3 m'
_space_group_IT_number 225
_space_group_name_Hall '-F 4 2 3'
loop_
_atom_site_label
_atom_site_fract_x
_atom_site_fract_y
_atom_site_fract_z
Ba1 0.000 0.000 0.000
Tl1 0.250 0.250 0.250
Fe1 0.000 0.000 0.500
```

This record from Alexandria describes an optimized crystal structure of ThHg2Pd8. The functional is PBE.

## Properties
ΔH_f (0 K): -4.30 eV per formula unit
DOS at the Fermi energy: 0.405 states/eV/atom
Polymorph energy (0 for the lowest one): 0.000 kcal/mol of atoms

CIF file:
```
data_ThHg2Pd8
_cell_length_a 5.374
_cell_length_b 5.413
_cell_length_c 6.979
_cell_angle_alpha 97.56
_cell_angle_beta 96.47
_cell_angle_gamma 95.00
_space_group_name_H-M_alt 'P -1'
_space_group_IT_number 2
_space_group_name_Hall '-P 1'
loop_
_atom_site_label
_atom_site_fract_x
_atom_site_fract_y
_atom_site_fract_z
Th1 0.000 0.000 0.000
Hg1 0.366 0.320 0.653
Pd1 0.043 0.362 0.321
Pd2 0.173 0.874 0.396
Pd3 0.261 0.554 0.028
Pd4 0.487 0.858 0.793
```

This record from Alexandria describes an optimized crystal structure of Tc2OF. The functional is PBE.

## Properties
Uncorrected formation energy: -0.3732 eV/atom
DOS at the Fermi energy: 0.838 states/eV/atom
Polymorph energy (0 for the lowest one): 0.000 kcal/mol of atoms

CIF file:
```
data_Tc2OF
_cell_length_a 3.806
_cell_length_b 3.806
_cell_length_c 14.080
_cell_angle_alpha 90.00
_cell_angle_beta 90.00
_cell_angle_gamma 90.00
_space_group_name_H-M_alt 'I -4 2 d'
_space_group_IT_number 122
_space_group_name_Hall 'I -4 2bw'
loop_
_atom_site_label
_atom_site_fract_x
_atom_site_fract_y
_atom_site_fract_z
Tc1 0.181 0.250 0.125
O1 0.000 0.000 0.000
F1 0.000 0.000 0.500
```

This record from Alexandria describes an optimized crystal structure of Hf2VIn. The functional is PBE.

## Properties
ΔH_f (0 K): 2.38 eV per formula unit
DOS at the Fermi energy: 0.856 states/eV/atom

CIF file:
```
data_Hf2VIn
_cell_length_a 4.080
_cell_length_b 4.080
_cell_length_c 20.522
_cell_angle_alpha 90.00
_cell_angle_beta 90.00
_cell_angle_gamma 90.00
_space_group_name_H-M_alt 'I -4 2 d'
_space_group_IT_number 122
_space_group_name_Hall 'I -4 2bw'
loop_
_atom_site_label
_atom_site_fract_x
_atom_site_fract_y
_atom_site_fract_z
Hf1 0.242 0.250 0.125
V1 0.000 0.000 0.000
In1 0.000 0.000 0.500
```

This record from Alexandria describes an optimized crystal structure of Ba3Li2Hg9. The functional is PBE.

## Properties
ΔH_f (0 K): -5.80 eV per formula unit
DOS at the Fermi energy: 0.457 states/eV/atom

CIF file:
```
data_Ba3Li2Hg9
_cell_length_a 4.875
_cell_length_b 11.026
_cell_length_c 15.076
_cell_angle_alpha 90.00
_cell_angle_beta 90.00
_cell_angle_gamma 90.00
_space_group_name_H-M_alt 'I m m m'
_space_group_IT_number 71
_space_group_name_Hall '-I 2 2'
loop_
_atom_site_label
_atom_site_fract_x
_atom_site_fract_y
_atom_site_fract_z
Ba1 0.000 0.000 0.000
Ba2 0.000 0.000 0.295
Li1 0.000 0.190 0.500
Hg1 0.000 0.290 0.127
Hg2 0.000 0.357 0.347
Hg3 0.000 0.500 0.000
```

This record from Alexandria describes an optimized crystal structure of La4ThPd15. The functional is PBE.

## Properties
ΔH_f (0 K): -16.82 eV per formula unit
DOS at the Fermi energy: 0.535 states/eV/atom

CIF file:
```
data_La4ThPd15
_cell_length_a 4.227
_cell_length_b 4.227
_cell_length_c 21.151
_cell_angle_alpha 90.00
_cell_angle_beta 90.00
_cell_angle_gamma 90.00
_space_group_name_H-M_alt 'P 4/m m m'
_space_group_IT_number 123
_space_group_name_Hall '-P 4 2'
loop_
_atom_site_label
_atom_site_fract_x
_atom_site_fract_y
_atom_site_fract_z
La1 0.000 0.000 0.100
La2 0.000 0.000 0.300
Th1 0.000 0.000 0.500
Pd1 0.000 0.500 0.000
Pd2 0.000 0.500 0.201
Pd3 0.000 0.500 0.403
Pd4 0.500 0.500 0.100
Pd5 0.500 0.500 0.302
Pd6 0.500 0.500 0.500
```

This record from Alexandria describes an optimized crystal structure of YSb2Ru. The functional is PBE.

## Properties
Uncorrected formation energy: -0.2010 eV/atom
DOS at the Fermi energy: 0.714 states/eV/atom

CIF file:
```
data_YSb2Ru
_cell_length_a 3.463
_cell_length_b 4.822
_cell_length_c 5.997
_cell_angle_alpha 90.00
_cell_angle_beta 106.70
_cell_angle_gamma 90.00
_space_group_name_H-M_alt 'P 1 m 1'
_space_group_IT_number 6
_space_group_name_Hall 'P -2y'
loop_
_atom_site_label
_atom_site_fract_x
_atom_site_fract_y
_atom_site_fract_z
Y1 0.000 0.000 0.000
Sb1 0.411 0.500 0.821
Sb2 0.727 0.000 0.454
Ru1 0.641 0.500 0.283
```